# 1
# Cs4Tl3Pd2, optimized geometry, DFT PBE
data_Cs4Tl3Pd2
_chemical_formula_sum 'Cs4 Tl3 Pd2'
_cell_length_a 4.420
_cell_length_b 9.394
_cell_length_c 10.322
_cell_angle_alpha 110.20
_cell_angle_beta 102.36
_cell_angle_gamma 90.00
_space_group_name_H-M_alt 'P 1'
_space_group_IT_number 1
loop_
_space_group_symop_operation_xyz
'x,y,z'
loop_
_atom_site_label
_atom_site_fract_x
_atom_site_fract_y
_atom_site_fract_z
Cs1 0.577 0.892 0.155
Cs2 0.423 0.108 0.845
Cs3 0.225 0.688 0.451
Cs4 0.775 0.312 0.549
Tl1 0.900 0.725 0.800
Tl2 0.000 0.500 0.000
Tl3 0.100 0.275 0.200
Pd1 0.573 0.437 0.146
Pd2 0.427 0.563 0.854
# - formation energy (eV/atom) = -0.097
# - calculated density (Mg/m³) = 5.756
# - SG = C2/m (12)


# 2
# CsTl2Pd2, optimized geometry, DFT PBE
data_CsTl2Pd2
_chemical_formula_sum 'Cs1 Tl2 Pd2'
_cell_length_a 4.043
_cell_length_b 4.043
_cell_length_c 9.672
_cell_angle_alpha 77.94
_cell_angle_beta 77.94
_cell_angle_gamma 90.00
_space_group_name_H-M_alt 'P 1'
_space_group_IT_number 1
loop_
_space_group_symop_operation_xyz
'x,y,z'
loop_
_atom_site_label
_atom_site_fract_x
_atom_site_fract_y
_atom_site_fract_z
Tl1 0.355 0.355 0.289
Tl2 0.645 0.645 0.711
Pd1 0.250 0.750 0.500
Pd2 0.750 0.250 0.500
Cs1 0.000 0.000 0.000
# - formation energy (eV/atom) = -0.154
# - calculated density (Mg/m³) = 8.296
# - SG = I4/mmm (139)


In eV/atom, the E_tot values for the records above are, in order, -2.420; -3.348.